(1)
A relaxed CsGeH crystal. Source: Alexandria via LeMat-Bulk, functional PBE.

Unit cell a=5.0823 b=5.9442 c=6.6544 alpha=115.70 beta=90.01 gamma=90.06
With the nearest neighbours (Å) after each atom.
Fractional coordinates of all 6 atoms:
Cs 0.2495 0.1576 0.3073  4 H 3.08-3.42
Cs 0.7505 0.8424 0.6927  4 H 3.08-3.42
Ge 0.2510 0.4555 0.9433  1 H 1.64
Ge 0.7490 0.5445 0.0567  1 H 1.64
H 0.2506 0.6325 0.8110  1 Ge 1.64
H 0.7494 0.3675 0.1890  1 Ge 1.64

Calculated values
M_tot: 0.000 μB per formula unit
polymorph energy (0 for the lowest one): 0.0 meV/atom
mass density: 3787 kg/m³
symmetry: P-1 (2)
total DFT energy (no corrections): -18.4 eV/cell



(2)
A relaxed CsGeH2 crystal. Source: Alexandria via LeMat-Bulk, functional PBE.

Unit cell a=8.4737 b=10.8778 c=5.6090 alpha=90.00 beta=131.07 gamma=90.00
With the nearest neighbours (Å) after each atom.
Fractional coordinates of all 16 atoms:
Cs 0.0000 0.1489 0.0000  6 H 3.44-3.49, 2 Ge 3.63
Cs 0.0000 0.8511 0.5000  6 H 3.44-3.49, 2 Ge 3.63
Cs 0.5000 0.3511 0.5000  6 H 3.44-3.49, 2 Ge 3.63
Cs 0.5000 0.6489 0.0000  6 H 3.44-3.49, 2 Ge 3.63
Ge 0.9999 0.4895 0.5014  2 H 1.62
Ge 0.9999 0.5105 0.0014  2 H 1.62
Ge 0.4999 0.0105 0.0014  2 H 1.62
Ge 0.4999 0.9895 0.5014  2 H 1.62
H 0.1874 0.3887 0.6881  1 Ge 1.62
H 0.1874 0.6113 0.1881  1 Ge 1.62
H 0.3124 0.1112 0.8149  1 Ge 1.62
H 0.3124 0.8888 0.3149  1 Ge 1.62
H 0.6874 0.1113 0.1881  1 Ge 1.62
H 0.6874 0.8887 0.6881  1 Ge 1.62
H 0.8124 0.3888 0.3149  1 Ge 1.62
H 0.8124 0.6112 0.8149  1 Ge 1.62

Calculated values
M_tot: 0.000 μB per formula unit
mass density: 3537 kg/m³
symmetry: Cc (9)
total DFT energy (no corrections): -49.8 eV/cell



(3)
A relaxed CsGe2H crystal. Source: Alexandria via LeMat-Bulk, functional PBE.

Unit cell a=6.5229 b=6.5229 c=9.3733 alpha=90.00 beta=90.00 gamma=90.00
With the nearest neighbours (Å) after each atom.
Fractional coordinates of all 16 atoms:
Cs 0.0000 0.2500 0.3750  12 Ge 3.83-3.87, 4 H 4.02, 4 Cs 4.02
Cs 0.0000 0.7500 0.6250  12 Ge 3.83-3.87, 4 H 4.02, 4 Cs 4.02
Cs 0.5000 0.2500 0.1250  12 Ge 3.83-3.87, 4 H 4.02, 4 Cs 4.02
Cs 0.5000 0.7500 0.8750  12 Ge 3.83-3.87, 4 H 4.02, 4 Cs 4.02
Ge 0.0000 0.0000 0.0000  2 H 2.01
Ge 0.0000 0.5000 0.0000  2 H 2.01
Ge 0.2500 0.2500 0.7500  2 H 2.01
Ge 0.2500 0.7500 0.2500  2 H 2.01
Ge 0.5000 0.0000 0.5000  2 H 2.01
Ge 0.5000 0.5000 0.5000  2 H 2.01
Ge 0.7500 0.2500 0.7500  2 H 2.01
Ge 0.7500 0.7500 0.2500  2 H 2.01
H 0.0000 0.2500 0.8750  4 Ge 2.01
H 0.0000 0.7500 0.1250  4 Ge 2.01
H 0.5000 0.2500 0.6250  4 Ge 2.01
H 0.5000 0.7500 0.3750  4 Ge 2.01

Calculated values
M_tot: 0.000 μB per formula unit
polymorph energy (0 for the lowest one): 0.0 meV/atom
mass density: 4650 kg/m³
symmetry: I4_1/amd (141)
total DFT energy (no corrections): -47.5 eV/cell



(4)
A relaxed Cs2Ge2H5 crystal. Source: Alexandria via LeMat-Bulk, functional PBE.

Unit cell a=7.6041 b=7.6041 c=5.8989 alpha=90.15 beta=90.15 gamma=40.30
With the nearest neighbours (Å) after each atom.
Fractional coordinates of all 9 atoms:
Cs 0.1258 0.1258 0.2722  5 H 3.04-3.32
Cs 0.8742 0.8742 0.7278  5 H 3.04-3.32
Ge 0.4070 0.4070 0.1994  2 H 1.58-1.59
Ge 0.5930 0.5930 0.8006  2 H 1.58-1.59
H 0.3166 0.3166 0.0432  1 Ge 1.58
H 0.3599 0.3599 0.4430  1 Ge 1.59
H 0.5000 0.5000 0.0000  2 Ge 1.78
H 0.6401 0.6401 0.5570  1 Ge 1.59
H 0.6834 0.6834 0.9568  1 Ge 1.58

Calculated values
M_tot: 0.000 μB per formula unit
mass density: 3132 kg/m³
symmetry: C2/m (12)
total DFT energy (no corrections): -26.7 eV/cell